1.
# GGA-PBEsol NiRhS3, relaxed
# SG	Pm-3m (221)
# uncorrected formation energy	0.6676	eV/atom
data_NiRhS3
_chemical_formula_sum 'Ni1 Rh1 S3'
_symmetry_space_group_name_H-M 'P 1'
_symmetry_Int_Tables_number 1
_symmetry_space_group_name_Hall 'P 1'
_cell_length_a 4.296
_cell_length_b 4.296
_cell_length_c 4.296
_cell_angle_alpha 90.00
_cell_angle_beta 90.00
_cell_angle_gamma 90.00
loop_
_atom_site_label
_atom_site_fract_x
_atom_site_fract_y
_atom_site_fract_z
Ni1 0.000 0.000 0.000
S1 0.000 0.500 0.000
S2 0.500 0.000 0.000
S3 0.000 0.000 0.500
Rh1 0.500 0.500 0.500

=====

2.
# GGA-PBEsol HfGeRh, relaxed
# energy relative to the elements	-2.815	eV per formula unit
# SG	Pnma (62)
data_HfGeRh
_chemical_formula_sum 'Hf4 Ge4 Rh4'
_symmetry_space_group_name_H-M 'P 1'
_symmetry_Int_Tables_number 1
_symmetry_space_group_name_Hall 'P 1'
_cell_length_a 3.945
_cell_length_b 6.485
_cell_length_c 7.501
_cell_angle_alpha 90.00
_cell_angle_beta 90.00
_cell_angle_gamma 90.00
loop_
_atom_site_label
_atom_site_fract_x
_atom_site_fract_y
_atom_site_fract_z
Rh1 0.250 0.853 0.566
Hf1 0.250 0.476 0.309
Ge1 0.250 0.237 0.616
Rh2 0.750 0.147 0.434
Rh3 0.250 0.353 0.934
Hf2 0.250 0.976 0.191
Ge2 0.250 0.737 0.884
Ge3 0.750 0.263 0.116
Hf3 0.750 0.024 0.809
Rh4 0.750 0.647 0.066
Ge4 0.750 0.763 0.384
Hf4 0.750 0.524 0.691

=====

3.
# GGA-PBEsol HgPPb2, relaxed
# energy relative to the elements	0.210	eV per formula unit
# SG	R-3m (166)
# energy relative to the lowest polymorph listed for this composition	0	meV per atom
data_HgPPb2
_chemical_formula_sum 'Hg1 P1 Pb2'
_symmetry_space_group_name_H-M 'P 1'
_symmetry_Int_Tables_number 1
_symmetry_space_group_name_Hall 'P 1'
_cell_length_a 3.955
_cell_length_b 3.955
_cell_length_c 8.085
_cell_angle_alpha 75.84
_cell_angle_beta 75.84
_cell_angle_gamma 60.00
loop_
_atom_site_label
_atom_site_fract_x
_atom_site_fract_y
_atom_site_fract_z
P1 0.500 0.500 0.500
Pb1 0.238 0.238 0.285
Pb2 0.762 0.762 0.715
Hg1 0.000 0.000 0.000